5
Lattice="5.273 0.000 0.000 0.000 5.273 0.000 0.000 0.000 5.273" Properties=species:S:1:pos:R:3 comment="Tm4V, relaxed, DFT PBE" total_magnetization_mub_per_atom=0.1764 delta_e_f_ev_per_atom=0.45 vol_a3_per_atom=29.3 dos_at_fermi_per_ev_cell=6.808 space_group="No. 221" pbc="T T T"
Tm 0.000 0.000 0.000
Tm 2.637 0.000 2.637
Tm 2.637 2.637 0.000
Tm 0.000 2.637 2.637
V 2.637 2.637 2.637

10
Lattice="-1.032 1.217 -3.161 -3.776 -8.318 -1.970 -8.102 2.797 3.722" Properties=species:S:1:pos:R:3 comment="Pm2PrTl2, relaxed, DFT PBE" total_magnetization_mub_per_atom=0.0330 delta_e_f_ev_per_atom=-0.19 vol_a3_per_atom=30.9 dos_at_fermi_per_ev_cell=12.542 space_group="No. 127" pbc="T T T"
Pr 0.000 0.000 0.000
Pr -5.939 -2.760 0.876
Pm -3.528 0.053 1.172
Pm -8.351 -5.574 0.580
Pm -3.326 -4.827 -0.773
Pm -8.553 -0.694 2.525
Tl -6.237 -5.332 -2.000
Tl -9.739 -2.724 0.147
Tl -3.171 -1.580 -1.556
Tl -6.673 1.028 0.591

> Which formula does entry 2 have?

Pm2PrTl2